The following is a DFT calculation (PBE-GGA) of a relaxed structure of Y2HgH.

As for the distance to the lowest polymorph of the same formula: 426 meV per atom. The density is 7.0 g/cm³.

```
data_Y2HgH
_cell_length_a 7.1261
_cell_length_b 7.1261
_cell_length_c 7.1261
_cell_angle_alpha 90.00
_cell_angle_beta 90.00
_cell_angle_gamma 90.00
_symmetry_space_group_name_H-M 'F m -3 m'
_symmetry_Int_Tables_number 225
_symmetry_space_group_name_Hall '-F 4 2 3'
loop_
_atom_site_label
_atom_site_type_symbol
_atom_site_fract_x
_atom_site_fract_y
_atom_site_fract_z
Y1 Y 0.2500 0.2500 0.2500
Hg1 Hg 0.0000 0.0000 0.0000
H1 H 0.0000 0.0000 0.5000
```


The following is a DFT calculation (PBE-GGA) of a relaxed structure of MgMn2Tl.

The density is 7.4 g/cm³. The value obtained for the energy of formation from the pure elements is 0.499 eV/atom.

```
data_MgMn2Tl
_cell_length_a 3.0780
_cell_length_b 3.0780
_cell_length_c 27.9470
_cell_angle_alpha 90.00
_cell_angle_beta 90.00
_cell_angle_gamma 120.00
_symmetry_space_group_name_H-M 'R -3 m'
_symmetry_Int_Tables_number 166
_symmetry_space_group_name_Hall '-R 3 2"'
loop_
_atom_site_label
_atom_site_type_symbol
_atom_site_fract_x
_atom_site_fract_y
_atom_site_fract_z
Mg1 Mg 0.0000 0.0000 0.0000
Mn1 Mn 0.0000 0.0000 0.2523
Tl1 Tl 0.0000 0.0000 0.5000
```